This record from Alexandria describes a relaxed TeMoPt2 crystal. The functional is GGA-PBE.

The value obtained for the uncorrected formation energy is -4 kJ/mol of formula units. The total magnetization comes out at 0.00 μB/cell.

It has space group P4/mmm (No. 123), with a = 2.9116 Å, b = 2.9116 Å, c = 8.6011 Å, α = 90.00°, β = 90.00° and γ = 90.00°. The distinct sites, in fractional coordinates, are Te at (0.0000, 0.0000, 0.0000), Mo at (0.0000, 0.0000, 0.5000) and Pt at (0.5000, 0.5000, 0.2870).